(1)
Density functional theory data (PBE-GGA) for a geometry-optimized AsPt2Rh structure.

Properties
The volume is 15.448 Å³ per atom. The density of states at the Fermi level comes out at 4.51 states/eV/f.u. The calculation puts the final energy at -24.3 eV for the cell shown. Its space-group type is P4mm, No. 99.

```
AsPt2Rh
1.0
2.943 0.000 0.000
0.000 2.943 0.000
0.000 0.000 7.133
As Pt Rh
1 2 1
Cartesian
0.000 0.000 0.000
0.000 0.000 3.695
1.472 1.472 1.766
1.472 1.472 5.620
```


(2)
Density functional theory data (PBE-GGA) for a geometry-optimized ReNi2N structure.

Properties
The volume is 10.859 Å³ per atom. The density of states at the Fermi level comes out at 1.53 states/eV/f.u. The calculation puts the final energy at -61.1 eV for the cell shown. Its energy relative to the elements, uncorrected is 0.451 eV/atom. Its space-group type is I-42d, No. 122.

```
ReNi2N
1.0
-3.205 3.205 2.115
3.205 -3.205 2.115
3.205 3.205 -2.115
Re Ni N
2 4 2
Cartesian
0.000 0.000 0.000
0.000 3.205 1.057
1.602 -1.045 1.586
2.160 1.602 0.529
1.602 4.250 -0.529
1.045 1.602 2.644
3.205 0.000 1.057
0.000 0.000 2.115
```


(3)
Density functional theory data (PBE-GGA) for a geometry-optimized DyErMgCo structure.

Properties
The volume is 23.011 Å³ per atom. The density of states at the Fermi level comes out at 3.34 states/eV/f.u. The calculation puts the final energy at -18.5 eV for the cell shown. The calculation puts the distance to the lowest polymorph of the same formula at 0.00 eV per formula unit. Its space-group type is P4mm, No. 99.

```
DyErMgCo
1.0
3.382 0.000 0.000
0.000 3.382 0.000
0.000 0.000 8.045
Dy Er Mg Co
1 1 1 1
Cartesian
0.000 0.000 0.000
0.000 0.000 4.819
1.691 1.691 2.431
1.691 1.691 6.407
```


(4)
Density functional theory data (PBE-GGA) for a geometry-optimized Nb3PdPb structure.

Properties
The volume is 23.405 Å³ per atom. The density of states at the Fermi level comes out at 6.74 states/eV/f.u. The calculation puts the final energy at -33.8 eV for the cell shown. The calculation puts the distance to the lowest polymorph of the same formula at 0.00 eV per formula unit. Its space-group type is Pm-3m, No. 221.

```
Nb3PdPb
1.0
4.891 0.000 0.000
0.000 4.891 0.000
0.000 0.000 4.891
Nb Pd Pb
3 1 1
Cartesian
0.000 0.000 2.446
0.000 2.446 0.000
2.446 0.000 0.000
0.000 0.000 0.000
2.446 2.446 2.446
```


- Among the records above, which one has the highest volume?
  Nb3PdPb


- The lowest final energy belongs to which entry?
  ReNi2N


- Which formula does entry 4 have?
  Nb3PdPb